(1)
Compound: Ac3CdIr
Source: Alexandria
Functional: PBE-GGA
Structure: relaxed

## Properties
E = -4.75 eV/atom
space-group type = Pm-3m
distance to the lowest polymorph of the same formula = 135 meV/atom
energy relative to the elements = -325 meV/atom

Cell: 5.835 5.835 5.835 Å, 90.00 90.00 90.00°
Positions (direct):
Ir  0.000  0.000  0.000
Ac  0.000  0.000  0.500
Ac  0.500  0.000  0.000
Ac  0.000  0.500  0.000
Cd  0.500  0.500  0.500


(2)
Compound: Y3Ho5Er2
Source: Alexandria
Functional: PBE-GGA
Structure: relaxed

## Properties
E = -4.94 eV/atom
space-group type = C2/c
energy relative to the elements = 204 meV/atom

Cell: 9.450 9.453 11.074 Å, 125.75 125.75 68.34°
Positions (direct):
Ho  0.639  0.891  0.284
Ho  0.530  0.280  0.561
Ho  0.470  0.720  0.439
Ho  0.730  0.480  0.961
Ho  0.969  0.219  0.438
Ho  0.855  0.607  0.716
Ho  0.361  0.109  0.716
Ho  0.145  0.393  0.284
Ho  0.270  0.520  0.039
Ho  0.031  0.781  0.562
Er  0.532  0.282  0.265
Er  0.767  0.016  0.735
Er  0.468  0.718  0.735
Er  0.233  0.984  0.265
Y  0.027  0.778  0.260
Y  0.973  0.222  0.740
Y  0.767  0.017  0.033
Y  0.733  0.482  0.260
Y  0.233  0.983  0.967
Y  0.267  0.518  0.740


(3)
Compound: RbPb2AuO2
Source: Alexandria
Functional: PBE-GGA
Structure: relaxed

## Properties
E = -4.40 eV/atom
uncorrected formation energy = -0.800 eV per atom
space-group type = P2_1/m

Cell: 6.379 6.307 9.005 Å, 97.01 90.00 90.00°
Positions (direct):
Au  0.750  0.354  0.591
Au  0.250  0.646  0.409
Pb  0.750  0.373  0.276
Pb  0.750  0.864  0.623
Pb  0.250  0.627  0.724
Pb  0.250  0.136  0.377
Rb  0.250  0.170  0.950
Rb  0.750  0.830  0.050
O  0.000  0.856  0.790
O  0.500  0.144  0.210
O  0.500  0.856  0.790
O  0.000  0.144  0.210


(4)
Compound: Ba6P2BrN
Source: Alexandria
Functional: PBE-GGA
Structure: relaxed

## Properties
E = -4.14 eV/atom
uncorrected formation energy = -0.900 eV per atom
space-group type = P2_1/c

Cell: 7.480 8.591 11.199 Å, 90.00 89.95 90.00°
Positions (direct):
Ba  0.651  0.043  0.273
Ba  0.700  0.340  0.923
Ba  0.200  0.160  0.423
Ba  0.852  0.788  0.928
Ba  0.300  0.660  0.077
Ba  0.349  0.957  0.727
Ba  0.849  0.543  0.227
Ba  0.648  0.288  0.572
Ba  0.352  0.712  0.428
Ba  0.151  0.457  0.773
Ba  0.800  0.840  0.577
Ba  0.148  0.212  0.072
N  0.500  0.000  0.500
N  0.000  0.500  0.000
Br  0.500  0.000  0.000
Br  0.000  0.500  0.500
P  0.441  0.385  0.253
P  0.941  0.115  0.753
P  0.559  0.615  0.747
P  0.059  0.885  0.247


(5)
Compound: Tm2ScSe3
Source: Alexandria
Functional: PBE-GGA
Structure: relaxed

## Properties
E = -5.92 eV/atom
uncorrected formation energy = -1.632 eV per atom
space-group type = Immm

Cell: 3.989 5.610 6.871 Å, 114.09 106.87 90.00°
Positions (direct):
Se  0.500  0.000  0.500
Se  0.161  0.661  0.823
Se  0.839  0.339  0.177
Tm  0.169  0.169  0.838
Tm  0.831  0.831  0.162
Sc  0.500  0.500  0.500


(6)
Compound: InGe3Pd6
Source: Alexandria
Functional: PBE-GGA
Structure: relaxed

## Properties
E = -5.22 eV/atom
space-group type = Cmc2_1
energy relative to the elements = -448 meV/atom

Cell: 6.251 7.496 7.496 Å, 105.17 90.00 90.00°
Positions (direct):
In  0.034  0.208  0.792
In  0.534  0.792  0.208
Pd  0.104  0.732  0.268
Pd  0.139  0.348  0.271
Pd  0.788  0.927  0.529
Pd  0.288  0.529  0.927
Pd  0.604  0.268  0.732
Pd  0.139  0.729  0.652
Pd  0.253  0.975  0.025
Pd  0.753  0.025  0.975
Pd  0.288  0.073  0.471
Pd  0.788  0.471  0.073
Pd  0.639  0.271  0.348
Pd  0.639  0.652  0.729
Ge  0.452  0.283  0.055
Ge  0.840  0.572  0.428
Ge  0.340  0.428  0.572
Ge  0.952  0.717  0.945
Ge  0.952  0.055  0.283
Ge  0.452  0.945  0.717


(7)
Compound: Rb2FeMoAu
Source: Alexandria
Functional: PBE-GGA
Structure: relaxed

## Properties
E = -3.42 eV/atom
space-group type = P4/mmm
energy relative to the elements = 1478 meV/atom

Cell: 6.488 6.488 4.920 Å, 90.00 90.00 90.00°
Positions (direct):
Au  0.000  0.000  0.500
Mo  0.500  0.500  0.500
Rb  0.500  0.000  0.000
Rb  0.000  0.500  0.000
Fe  0.000  0.000  0.000


(8)
Compound: CaZnSi
Source: Alexandria
Functional: PBE-GGA
Structure: relaxed

## Properties
E = -3.33 eV/atom
uncorrected formation energy = -0.429 eV per atom
space-group type = P6_3/mmc

Cell: 4.190 4.190 17.046 Å, 90.00 90.00 120.00°
Positions (direct):
Si  0.333  0.667  0.623
Si  0.667  0.333  0.377
Si  0.667  0.333  0.123
Si  0.333  0.667  0.877
Zn  0.333  0.667  0.375
Zn  0.667  0.333  0.625
Zn  0.667  0.333  0.875
Zn  0.333  0.667  0.125
Ca  0.000  0.000  0.500
Ca  0.000  0.000  0.000
Ca  0.000  0.000  0.250
Ca  0.000  0.000  0.750


(9)
Compound: LiTbPaS4
Source: Alexandria
Functional: PBE-GGA
Structure: relaxed

## Properties
E = -6.36 eV/atom
uncorrected formation energy = -1.714 eV per atom
space-group type = Imma

Cell: 8.036 7.988 7.938 Å, 119.79 90.00 120.20°
Positions (direct):
S  0.745  0.489  0.260
S  0.272  0.021  0.261
S  0.251  0.979  0.739
S  0.745  0.489  0.729
S  0.255  0.511  0.740
S  0.749  0.021  0.261
S  0.255  0.511  0.271
S  0.728  0.979  0.739
Tb  0.500  0.000  0.000
Tb  0.500  0.000  0.500
Pa  0.500  0.500  0.500
Pa  0.000  0.500  0.500
Li  0.118  0.236  0.868
Li  0.882  0.764  0.132


(10)
Compound: CaHPd6
Source: Alexandria
Functional: PBE-GGA
Structure: relaxed

## Properties
E = -4.72 eV/atom
space-group type = R-3m

Cell: 5.550 5.550 5.810 Å, 61.47 61.47 60.00°
Positions (direct):
Pd  0.905  0.418  0.772
Pd  0.905  0.905  0.772
Pd  0.582  0.095  0.228
Pd  0.095  0.095  0.228
Pd  0.095  0.582  0.228
Pd  0.418  0.905  0.772
H  0.000  0.000  0.000
Ca  0.500  0.500  0.500


(11)
Compound: AlV2B
Source: Alexandria
Functional: PBE-GGA
Structure: relaxed

## Properties
E = -7.60 eV/atom
space-group type = C2/m
distance to the lowest polymorph of the same formula = 0 meV/atom
energy relative to the elements = -438 meV/atom

Cell: 3.048 5.323 6.095 Å, 91.83 90.00 106.64°
Positions (direct):
B  0.419  0.838  0.448
B  0.581  0.162  0.552
V  0.234  0.468  0.648
V  0.952  0.903  0.714
V  0.048  0.097  0.286
V  0.766  0.532  0.352
Al  0.371  0.742  0.051
Al  0.629  0.258  0.949


(12)
Compound: ReSiRuW
Source: Alexandria
Functional: PBE-GGA
Structure: relaxed

## Properties
E = -10.09 eV/atom
uncorrected formation energy = -0.062 eV per atom
space-group type = F-43m

Cell: 4.327 4.327 4.327 Å, 60.00 60.00 60.00°
Positions (direct):
Re  0.250  0.250  0.250
W  0.000  0.000  0.000
Si  0.500  0.500  0.500
Ru  0.750  0.750  0.750


(13)
Compound: BaMg2Cd2
Source: Alexandria
Functional: PBE-GGA
Structure: relaxed

## Properties
E = -1.47 eV/atom
space-group type = P4/mbm
distance to the lowest polymorph of the same formula = 141 meV/atom
energy relative to the elements = -77 meV/atom

Cell: 9.011 9.011 3.449 Å, 90.00 90.00 90.00°
Positions (direct):
Ba  0.000  0.000  0.000
Ba  0.500  0.500  0.000
Cd  0.873  0.627  0.000
Cd  0.127  0.373  0.000
Cd  0.627  0.127  0.000
Cd  0.373  0.873  0.000
Mg  0.162  0.662  0.500
Mg  0.338  0.162  0.500
Mg  0.838  0.338  0.500
Mg  0.662  0.838  0.500


(14)
Compound: NbGeI
Source: Alexandria
Functional: PBE-GGA
Structure: relaxed

## Properties
E = -5.46 eV/atom
uncorrected formation energy = -0.050 eV per atom
space-group type = P2_1/m

Cell: 3.823 9.472 7.784 Å, 76.78 90.00 90.00°
Positions (direct):
I  0.250  0.599  0.337
I  0.750  0.401  0.663
I  0.250  0.099  0.837
I  0.750  0.901  0.163
Nb  0.250  0.386  0.943
Nb  0.250  0.886  0.443
Nb  0.750  0.614  0.057
Nb  0.750  0.114  0.557
Ge  0.250  0.663  0.793
Ge  0.750  0.837  0.707
Ge  0.250  0.163  0.293
Ge  0.750  0.337  0.207


(15)
Compound: Ni2BAu
Source: Alexandria
Functional: PBE-GGA
Structure: relaxed

## Properties
E = -4.83 eV/atom
space-group type = I-42d
energy relative to the elements = 549 meV/atom

Cell: 4.368 4.368 6.813 Å, 71.30 71.30 90.00°
Positions (direct):
Ni  0.487  0.125  0.250
Ni  0.875  0.737  0.750
Ni  0.375  0.513  0.750
Ni  0.263  0.625  0.250
Au  0.750  0.250  0.500
Au  0.000  0.000  0.000
B  0.250  0.750  0.500
B  0.500  0.500  0.000


(16)
Compound: AcHfAlS6
Source: Alexandria
Functional: PBE-GGA
Structure: relaxed

## Properties
E = -5.87 eV/atom
uncorrected formation energy = -1.141 eV per atom
space-group type = P312

Cell: 6.532 6.371 6.371 Å, 120.00 90.00 90.00°
Positions (direct):
Al  0.500  0.000  0.000
S  0.719  0.970  0.289
S  0.281  0.970  0.680
S  0.281  0.711  0.030
S  0.281  0.320  0.289
S  0.719  0.711  0.680
S  0.719  0.320  0.030
Ac  0.000  0.333  0.667
Hf  0.500  0.667  0.333


(17)
Compound: CeThSe2N
Source: Alexandria
Functional: PBE-GGA
Structure: relaxed

## Properties
E = -7.55 eV/atom
uncorrected formation energy = -1.816 eV per atom
space-group type = P4/nmm

Cell: 4.132 4.132 14.739 Å, 90.00 90.00 90.00°
Positions (direct):
Se  0.500  0.000  0.908
Se  0.000  0.500  0.092
Se  0.000  0.500  0.695
Se  0.500  0.000  0.305
N  0.000  0.000  0.500
N  0.500  0.500  0.500
Ce  0.000  0.500  0.880
Ce  0.500  0.000  0.120
Th  0.000  0.500  0.423
Th  0.500  0.000  0.577


(18)
Compound: AcEr2Os
Source: Alexandria
Functional: PBE-GGA
Structure: relaxed

## Properties
E = -5.90 eV/atom
space-group type = R-3m
distance to the lowest polymorph of the same formula = 334 meV/atom
energy relative to the elements = 211 meV/atom

Cell: 3.835 3.835 10.940 Å, 79.90 79.90 60.00°
Positions (direct):
Er  0.883  0.883  0.351
Er  0.117  0.117  0.649
Os  0.500  0.500  0.500
Ac  0.000  0.000  0.000


(19)
Compound: MgZrCr2
Source: Alexandria
Functional: PBE-GGA
Structure: relaxed

## Properties
E = -6.79 eV/atom
space-group type = C2/m
energy relative to the elements = 560 meV/atom

Cell: 4.942 4.942 5.116 Å, 74.85 74.85 36.20°
Positions (direct):
Cr  0.501  0.501  0.494
Cr  0.999  0.999  0.006
Zr  0.250  0.250  0.250
Mg  0.750  0.750  0.750


(20)
Compound: Y2ZrAg
Source: Alexandria
Functional: PBE-GGA
Structure: relaxed

## Properties
E = -6.20 eV/atom
space-group type = P4/mmm
distance to the lowest polymorph of the same formula = 0 meV/atom
energy relative to the elements = -114 meV/atom

Cell: 3.455 3.455 8.617 Å, 90.00 90.00 90.00°
Positions (direct):
Zr  0.500  0.500  0.250
Y  0.000  0.000  0.985
Y  0.000  0.000  0.515
Ag  0.500  0.500  0.750


(21)
Compound: Ca3Hg2Pb
Source: Alexandria
Functional: PBE-GGA
Structure: relaxed

## Properties
E = -2.28 eV/atom
space-group type = P4/mmm
distance to the lowest polymorph of the same formula = 3 meV/atom
energy relative to the elements = -560 meV/atom

Cell: 3.790 3.790 11.785 Å, 90.00 90.00 90.00°
Positions (direct):
Hg  0.500  0.500  0.162
Hg  0.500  0.500  0.838
Ca  0.000  0.000  0.323
Ca  0.000  0.000  0.677
Ca  0.000  0.000  0.000
Pb  0.500  0.500  0.500


(22)
Compound: Pr5Ir2Rh
Source: Alexandria
Functional: PBE-GGA
Structure: relaxed

## Properties
E = -6.65 eV/atom
space-group type = I4/mcm
energy relative to the elements = -531 meV/atom

Cell: 7.758 7.758 8.967 Å, 115.63 115.63 90.00°
Positions (direct):
Pr  0.500  0.500  0.000
Pr  0.687  0.187  0.719
Pr  0.813  0.968  0.281
Pr  0.313  0.813  0.281
Pr  0.968  0.468  0.281
Pr  0.000  0.000  0.000
Pr  0.032  0.532  0.719
Pr  0.532  0.687  0.719
Pr  0.187  0.032  0.719
Pr  0.468  0.313  0.281
Rh  0.250  0.250  0.500
Rh  0.750  0.750  0.500
Ir  0.628  0.128  0.000
Ir  0.872  0.628  0.000
Ir  0.128  0.372  0.000
Ir  0.372  0.872  0.000


(23)
Compound: MnCoAg2
Source: Alexandria
Functional: PBE-GGA
Structure: relaxed

## Properties
E = -5.13 eV/atom
space-group type = Immm
distance to the lowest polymorph of the same formula = 124 meV/atom
energy relative to the elements = 364 meV/atom

Cell: 4.915 4.915 4.915 Å, 134.13 132.99 67.78°
Positions (direct):
Ag  0.501  0.501  0.000
Ag  0.999  0.999  0.000
Co  0.750  0.250  0.500
Mn  0.250  0.750  0.500


Asked for volume across the records above, the calculation gives 39.7; 32.5; 30.0; 36.0; 22.2; 17.0; 41.4; 21.6; 25.7; 16.2; 11.8; 14.3; 28.0; 22.9; 14.5; 25.5; 25.2; 34.1; 17.7; 25.7; 28.2; 26.7; 15.3 A^3/atom in order.
Asked for magnetic moment across the records above, the calculation gives 0.0; 0.0; 0.0; 3.6; 0.0; 0.0; 8.3; 0.0; 2.1; 0.0; 0.0; 0.0; 0.0; 0.0; 0.0; 1.4; 1.7; 0.0; 5.0; 0.0; 0.0; 0.0; 5.5 Bohr magnetons per cell in order.
Asked for mass density across the records above, the calculation gives 8.236; 7.274; 6.731; 4.522; 7.733; 9.514; 4.166; 3.423; 4.840; 8.728; 4.899; 14.471; 4.871; 7.080; 9.321; 4.519; 7.182; 9.147; 5.139; 6.084; 7.145; 9.273; 8.934 g cm⁻³ in order.